Record 1
# Rb2TlRuCl6

Rb2TlRuCl6 after structural relaxation (PBE-GGA, Alexandria via LeMat-Bulk).

SG = R-3m
density = 3.38 g/cm³
spin magnetization = 1.0 μB/f.u.
raw formation energy = -1191 meV per atom
calculated volume = 33.82 A^3/atom

Unit cell a=7.2269 b=7.2269 c=15.5271 alpha=76.54 beta=76.54 gamma=60.00
Each line ends with the local moment (μB).
Element x y z (fractional)
Cl  0.8142  0.8142  0.0934  0.02
Cl  0.1573  0.6247  0.5934  0.01
Cl  0.7219  0.1858  0.9066  0.02
Cl  0.6247  0.1573  0.5934  0.01
Cl  0.6247  0.6247  0.5934  0.01
Cl  0.3753  0.3753  0.4066  0.01
Cl  0.1858  0.7219  0.9066  0.02
Cl  0.2781  0.8142  0.0934  0.02
Cl  0.3753  0.8427  0.4066  0.01
Cl  0.8427  0.3753  0.4066  0.01
Cl  0.1858  0.1858  0.9066  0.02
Cl  0.8142  0.2781  0.0934  0.02
Tl  0.5847  0.5847  0.2459  0.00
Tl  0.4153  0.4153  0.7541  0.00
Ru  0.0000  0.0000  0.0000  0.87
Ru  0.5000  0.5000  0.5000  0.71
Rb  0.3085  0.3085  0.0745  0.00
Rb  0.8593  0.8593  0.4221  0.00
Rb  0.1407  0.1407  0.5779  0.00
Rb  0.6915  0.6915  0.9255  0.00

---

Record 2
# DyY2PaAs4

DyY2PaAs4 after structural relaxation (PBE-GGA, Alexandria via LeMat-Bulk).

SG = P2/m
density = 7.37 g/cm³
spin magnetization = 0.1 μB/f.u.
ΔE_f = -11.428 eV/f.u.
calculated volume = 24.55 A^3/atom

Unit cell a=4.1183 b=7.1128 c=7.1114 alpha=109.48 beta=90.00 gamma=90.00
Each line ends with the local moment (μB).
Element x y z (fractional)
As  0.5000  0.2523  0.2468  0.00
As  0.0000  0.2523  0.7527  0.00
As  0.5000  0.7477  0.7532  0.00
As  0.0000  0.7477  0.2473  0.00
Pa  0.5000  0.5000  0.0000  0.06
Y  0.5000  0.0000  0.5000  0.00
Y  0.0000  0.5000  0.5000  0.00
Dy  0.0000  0.0000  0.0000  0.00

---

Record 3
# Sr2LaP

Sr2LaP after structural relaxation (PBE-GGA, Alexandria via LeMat-Bulk).

SG = F-43m
density = 4.52 g/cm³
spin magnetization = 0.0 μB/f.u.
ΔE_f = 0.224 eV/f.u.
calculated volume = 31.71 A^3/atom

Unit cell a=5.6399 b=5.6399 c=5.6399 alpha=60.00 beta=60.00 gamma=60.00
Element x y z (fractional)
Sr  0.0000  0.0000  0.0000
Sr  0.7500  0.7500  0.7500
P  0.2500  0.2500  0.2500
La  0.5000  0.5000  0.5000

---

Record 4
# NpPaFeS4

NpPaFeS4 after structural relaxation (PBE-GGA, Alexandria via LeMat-Bulk).

SG = P2_1/m
density = 8.21 g/cm³
spin magnetization = 2.1 μB/f.u.
raw formation energy = -1230 meV per atom
calculated volume = 18.84 A^3/atom

Unit cell a=6.3560 b=5.8060 c=7.4746 alpha=90.00 beta=106.99 gamma=90.00
Each line ends with the local moment (μB).
Element x y z (fractional)
S  0.0194  0.9902  0.7563  -0.06
S  0.9806  0.4902  0.2437  -0.06
S  0.5777  0.2500  0.3952  -0.07
S  0.9806  0.0098  0.2437  -0.06
S  0.4223  0.7500  0.6048  -0.07
S  0.5672  0.2500  0.8892  -0.09
S  0.0194  0.5098  0.7563  -0.06
S  0.4328  0.7500  0.1108  -0.09
Fe  0.2397  0.7500  0.3085  -1.81
Fe  0.7603  0.2500  0.6915  -1.81
Pa  0.2416  0.2500  0.5576  0.35
Pa  0.7584  0.7500  0.4424  0.35
Np  0.2527  0.2500  0.0670  3.69
Np  0.7473  0.7500  0.9330  3.69

---

Record 5
# NaTa2Nb2

NaTa2Nb2 after structural relaxation (PBE-GGA, Alexandria via LeMat-Bulk).

SG = I4/mmm
density = 8.79 g/cm³
spin magnetization = 0.0 μB/f.u.
ΔE_f = 4.933 eV/f.u.
calculated volume = 21.56 A^3/atom

Unit cell a=4.0542 b=4.0542 c=7.1582 alpha=73.55 beta=73.55 gamma=90.00
Element x y z (fractional)
Ta  0.6029  0.6029  0.7942
Ta  0.3971  0.3971  0.2058
Na  0.0000  0.0000  0.0000
Nb  0.7500  0.2500  0.5000
Nb  0.2500  0.7500  0.5000

---

Record 6
# ZrRe2P

ZrRe2P after structural relaxation (PBE-GGA, Alexandria via LeMat-Bulk).

SG = P2/m
density = 12.63 g/cm³
spin magnetization = 0.0 μB/f.u.
ΔE_f = -0.109 eV/f.u.
calculated volume = 16.26 A^3/atom

Unit cell a=4.5402 b=2.9896 c=4.7926 alpha=89.28 beta=90.00 gamma=90.00
Element x y z (fractional)
Re  0.0000  0.8483  0.2555
Re  0.0000  0.1517  0.7445
P  0.5000  0.0000  0.5000
Zr  0.5000  0.5000  0.0000

---

Record 7
# Ac6SnOs2Br3

Ac6SnOs2Br3 after structural relaxation (PBE-GGA, Alexandria via LeMat-Bulk).

SG = C2/m
density = 8.11 g/cm³
spin magnetization = 0.0 μB/f.u.
raw formation energy = -840 meV per atom
calculated volume = 35.83 A^3/atom

Unit cell a=4.4800 b=9.7059 c=10.6132 alpha=107.20 beta=102.18 gamma=90.00
Element x y z (fractional)
Ac  0.3327  0.8649  0.6654
Ac  0.3187  0.4426  0.6373
Ac  0.6813  0.5574  0.3627
Ac  0.6673  0.1351  0.3346
Ac  0.0248  0.2553  0.0496
Ac  0.9752  0.7447  0.9504
Os  0.8319  0.6599  0.6637
Os  0.1681  0.3401  0.3363
Sn  0.5000  0.0000  0.0000
Br  0.8352  0.1574  0.6704
Br  0.5000  0.5000  0.0000
Br  0.1648  0.8426  0.3296

---

Record 8
# TbPrMgRh

TbPrMgRh after structural relaxation (PBE-GGA, Alexandria via LeMat-Bulk).

SG = F-43m
density = 7.26 g/cm³
spin magnetization = 0.0 μB/f.u.
ΔE_f = -1.311 eV/f.u.
calculated volume = 24.41 A^3/atom

Unit cell a=5.1686 b=5.1686 c=5.1686 alpha=60.00 beta=60.00 gamma=60.00
Element x y z (fractional)
Mg  0.2500  0.2500  0.2500
Rh  0.7500  0.7500  0.7500
Tb  0.0000  0.0000  0.0000
Pr  0.5000  0.5000  0.5000

---

Record 9
# K2AlCl

K2AlCl after structural relaxation (PBE-GGA, Alexandria via LeMat-Bulk).

SG = F-43m
density = 1.59 g/cm³
spin magnetization = 0.0 μB/f.u.
raw formation energy = -137 meV per atom
calculated volume = 36.68 A^3/atom

Unit cell a=5.9204 b=5.9204 c=5.9204 alpha=60.00 beta=60.00 gamma=60.00
Element x y z (fractional)
K  0.0000  0.0000  0.0000
K  0.2500  0.2500  0.2500
Al  0.5000  0.5000  0.5000
Cl  0.7500  0.7500  0.7500

---

Record 10
# TlReAu2

TlReAu2 after structural relaxation (PBE-GGA, Alexandria via LeMat-Bulk).

SG = Fm-3m
density = 17.03 g/cm³
spin magnetization = 2.6 μB/f.u.
ΔE_f = 3.507 eV/f.u.
calculated volume = 19.12 A^3/atom

Unit cell a=4.7648 b=4.7648 c=4.7648 alpha=60.00 beta=60.00 gamma=60.00
Each line ends with the local moment (μB).
Element x y z (fractional)
Au  0.7500  0.7500  0.7500  0.05
Au  0.2500  0.2500  0.2500  0.05
Tl  0.5000  0.5000  0.5000  -0.01
Re  0.0000  0.0000  0.0000  2.19

---

Record 11
# MgNiHPt2

MgNiHPt2 after structural relaxation (PBE-GGA, Alexandria via LeMat-Bulk).

SG = P4/mmm
density = 12.96 g/cm³
spin magnetization = 0.7 μB/f.u.
E = -24.74 eV per cell
calculated volume = 12.15 A^3/atom

Unit cell a=4.0164 b=4.0164 c=3.7674 alpha=90.00 beta=90.00 gamma=90.00
Each line ends with the local moment (μB).
Element x y z (fractional)
H  0.0000  0.0000  0.0000  0.00
Pt  0.5000  0.0000  0.0000  0.12
Pt  0.0000  0.5000  0.0000  0.12
Mg  0.5000  0.5000  0.5000  0.00
Ni  0.0000  0.0000  0.5000  0.49

---

Record 12
# Cs2LiMnC6N6

Cs2LiMnC6N6 after structural relaxation (PBE-GGA, Alexandria via LeMat-Bulk).

SG = Fm-3m
density = 2.60 g/cm³
spin magnetization = 2.0 μB/f.u.
raw formation energy = -129 meV per atom
calculated volume = 19.31 A^3/atom

Unit cell a=7.5883 b=7.5883 c=7.5883 alpha=60.00 beta=60.00 gamma=60.00
Each line ends with the local moment (μB).
Element x y z (fractional)
Mn  0.0000  0.0000  0.0000  1.79
N  0.2923  0.7077  0.2923  0.05
N  0.7077  0.2923  0.2923  0.05
N  0.2923  0.7077  0.7077  0.05
N  0.2923  0.2923  0.7077  0.05
N  0.7077  0.2923  0.7077  0.05
N  0.7077  0.7077  0.2923  0.05
C  0.1825  0.8175  0.8175  -0.04
C  0.8175  0.1825  0.1825  -0.04
C  0.8175  0.1825  0.8175  -0.04
C  0.8175  0.8175  0.1825  -0.04
C  0.1825  0.1825  0.8175  -0.04
C  0.1825  0.8175  0.1825  -0.04
Li  0.5000  0.5000  0.5000  0.00
Cs  0.2500  0.2500  0.2500  0.00
Cs  0.7500  0.7500  0.7500  0.00

---

Question: The highest spin magnetization belongs to which entry?
Answer: TlReAu2

---

Question: What is the spin magnetization in the seventh record?
Answer: 0.0 μB/f.u.

---

Question: spin magnetization of number 10 (TlReAu2)?
Answer: 2.6 μB/f.u.

---

Question: spin magnetization of number 9 (K2AlCl)?
Answer: 0.0 μB/f.u.